Material: K2Cd4Pt
Method: DFT, PBE
State: relaxed

Summary:
ΔE to the lowest computed polymorph in meV per atom: 30
Symmetry: I4/mmm, No. 139
Formation energy from the elements in eV/atom: -0.14

Cell lengths 5.321, 5.321, 17.795 Å; angles 90.00, 90.00, 90.00 degrees
Sites, in units of the cell vectors:
K1 0.000 0.000 0.148
K2 0.000 0.000 0.852
K3 0.500 0.500 0.352
K4 0.500 0.500 0.648
Cd1 0.000 0.000 0.350
Cd2 0.000 0.000 0.650
Cd3 0.000 0.500 0.000
Cd4 0.000 0.500 0.500
Cd5 0.500 0.000 0.000
Cd6 0.500 0.000 0.500
Cd7 0.500 0.500 0.150
Cd8 0.500 0.500 0.850
Pt1 0.000 0.000 0.500
Pt2 0.500 0.500 0.000